Computed, not measured: a relaxed DyMgCu crystal at the PBE level of DFT.

Unit cell a=13.2015 b=3.8749 c=7.6205 alpha=90.00 beta=90.00 gamma=90.00
Space group Pmma (No. 51)
Unique sites:
Dy (0.0437, 0.0000, 0.2230) x4
Dy (0.2500, 0.0000, 0.8502) x2
Mg (0.1219, 0.5000, 0.5630) x4
Mg (0.2500, 0.5000, 0.2022) x2
Cu (0.0931, 0.5000, 0.9444) x4
Cu (0.2500, 0.0000, 0.4471) x2

Properties
E_form: -0.21 eV/atom
Fermi-level density of states: 2.34 states/eV/f.u.